Record 1
# ZrZnPtAu | Alexandria | PBE-GGA | optimized geometry
data_ZrZnPtAu
_cell_length_a 6.560
_cell_length_b 6.560
_cell_length_c 6.560
_cell_angle_alpha 90.00
_cell_angle_beta 90.00
_cell_angle_gamma 90.00
_symmetry_space_group_name_H-M 'F -4 3 m'
_symmetry_Int_Tables_number 216
_symmetry_space_group_name_Hall 'F -4 2 3'
loop_
_atom_site_label
_atom_site_fract_x
_atom_site_fract_y
_atom_site_fract_z
_atom_site_occupancy
Zr1 0.000 0.000 0.000 1
Zn1 0.000 0.000 0.500 1
Pt1 0.250 0.250 0.250 1
Au1 0.250 0.250 0.750 1
# DFT formation energy = -2.49 eV/f.u.

=====

Record 2
# TiB2Mo4 | Alexandria | PBE-GGA | optimized geometry
data_TiB2Mo4
_cell_length_a 4.1368
_cell_length_b 4.1368
_cell_length_c 19.6133
_cell_angle_alpha 90.00
_cell_angle_beta 90.00
_cell_angle_gamma 120.00
_symmetry_space_group_name_H-M 'R -3 m'
_symmetry_Int_Tables_number 166
_symmetry_space_group_name_Hall '-R 3 2"'
loop_
_atom_site_label
_atom_site_fract_x
_atom_site_fract_y
_atom_site_fract_z
_atom_site_occupancy
Ti1 0.0000 0.0000 0.0000 1
B1 0.0000 0.0000 0.1111 1
Mo1 0.0000 0.0000 0.2222 1
Mo2 0.0000 0.0000 0.3890 1
# DFT formation energy = 0.87 eV/f.u.

=====

Record 3
# ScTl2SnMo | Alexandria | PBE-GGA | optimized geometry
data_ScTl2SnMo
_cell_length_a 5.335
_cell_length_b 5.335
_cell_length_c 5.197
_cell_angle_alpha 90.00
_cell_angle_beta 90.00
_cell_angle_gamma 90.00
_symmetry_space_group_name_H-M 'P 4/m m m'
_symmetry_Int_Tables_number 123
_symmetry_space_group_name_Hall '-P 4 2'
loop_
_atom_site_label
_atom_site_fract_x
_atom_site_fract_y
_atom_site_fract_z
_atom_site_occupancy
Sc1 0.000 0.000 0.000 1
Tl1 0.000 0.500 0.500 1
Sn1 0.500 0.500 0.000 1
Mo1 0.500 0.500 0.500 1
# DFT formation energy = 3.30 eV/f.u.

=====

Record 4
# Cd2SbBr | Alexandria | PBE-GGA | optimized geometry
data_Cd2SbBr
_cell_length_a 3.352
_cell_length_b 3.352
_cell_length_c 9.667
_cell_angle_alpha 90.00
_cell_angle_beta 90.00
_cell_angle_gamma 90.00
_symmetry_space_group_name_H-M 'P 4 m m'
_symmetry_Int_Tables_number 99
_symmetry_space_group_name_Hall 'P 4 -2'
loop_
_atom_site_label
_atom_site_fract_x
_atom_site_fract_y
_atom_site_fract_z
_atom_site_occupancy
Cd1 0.000 0.000 0.000 1
Cd2 0.500 0.500 0.226 1
Sb1 0.000 0.000 0.461 1
Br1 0.500 0.500 0.816 1
# Energy relative to the elements, uncorrected = -7 meV per atom

=====

Record 5
# AgGeSeO2 | Alexandria | PBE-GGA | optimized geometry
data_AgGeSeO2
_cell_length_a 3.841
_cell_length_b 3.841
_cell_length_c 5.401
_cell_angle_alpha 90.00
_cell_angle_beta 90.00
_cell_angle_gamma 90.00
_symmetry_space_group_name_H-M 'P 4/m m m'
_symmetry_Int_Tables_number 123
_symmetry_space_group_name_Hall '-P 4 2'
loop_
_atom_site_label
_atom_site_fract_x
_atom_site_fract_y
_atom_site_fract_z
_atom_site_occupancy
Ag1 0.000 0.000 0.000 1
Ge1 0.500 0.500 0.000 1
Se1 0.500 0.500 0.500 1
O1 0.000 0.500 0.500 1
# Energy relative to the elements, uncorrected = 113 meV per atom

=====

Record 6
# Ac2HoSb3 | Alexandria | PBE-GGA | optimized geometry
data_Ac2HoSb3
_cell_length_a 8.072
_cell_length_b 13.986
_cell_length_c 8.075
_cell_angle_alpha 90.00
_cell_angle_beta 109.55
_cell_angle_gamma 90.00
_symmetry_space_group_name_H-M 'C 1 2/m 1'
_symmetry_Int_Tables_number 12
_symmetry_space_group_name_Hall '-C 2y'
loop_
_atom_site_label
_atom_site_fract_x
_atom_site_fract_y
_atom_site_fract_z
_atom_site_occupancy
Ac1 0.000 0.000 0.000 1
Ac2 0.000 0.163 0.500 1
Ac3 0.000 0.500 0.500 1
Ho1 0.000 0.332 0.000 1
Sb1 0.230 0.500 0.231 1
Sb2 0.248 0.327 0.765 1
# Energy relative to the elements, uncorrected = -1149 meV per atom

=====

Record 7
# ScCd3 | Alexandria | PBE-GGA | optimized geometry
data_ScCd3
_cell_length_a 3.234
_cell_length_b 10.142
_cell_length_c 5.473
_cell_angle_alpha 90.00
_cell_angle_beta 90.00
_cell_angle_gamma 90.00
_symmetry_space_group_name_H-M 'I m m 2'
_symmetry_Int_Tables_number 44
_symmetry_space_group_name_Hall 'I 2 -2'
loop_
_atom_site_label
_atom_site_fract_x
_atom_site_fract_y
_atom_site_fract_z
_atom_site_occupancy
Sc1 0.000 0.000 0.000 1
Cd1 0.000 0.251 0.355 1
Cd2 0.000 0.500 0.006 1
# DFT formation energy = -0.44 eV/f.u.